A plane-wave DFT calculation with PBE was carried out for a relaxed Tm2ThGa crystal.

Unit cell a=4.7017 b=4.7416 c=4.7416 alpha=90.00 beta=90.00 gamma=90.00
Closest atoms and distances in Å follow each position.
Fractional positions:
Tm  0.0000  0.5000  0.0000  4 Th 3.34, 4 Ga 3.34, 4 Tm 3.35
Ga  0.5000  0.0000  0.0000  8 Tm 3.34, 4 Th 3.35
Tm  0.0000  0.0000  0.5000  4 Th 3.34, 4 Ga 3.34, 4 Tm 3.35
Th  0.5000  0.5000  0.5000  8 Tm 3.34, 4 Ga 3.35

energy of formation	-0.187	eV per atom
total moment	0.0	μB per formula unit
excess energy over the best structure of this formula in the dataset	97	meV per atom
space group	P4/mmm